An optimized crystal structure of La4Nd2Y5. Source: Alexandria via LeMat-Bulk, functional PBE.

a b c (Å): 3.5690 11.9374 9.1543
angles (deg): 94.53 101.24 90.00
Sites, in units of the cell vectors:
La (0.3595, 0.2021, 0.7190)
Y (0.5000, 0.0000, 0.0000)
La (0.0373, 0.2604, 0.0746)
Nd (0.2855, 0.6467, 0.5709)
Y (0.8219, 0.9307, 0.6438)
Y (0.0963, 0.5413, 0.1925)
Y (0.1781, 0.0693, 0.3562)
Y (0.9037, 0.4587, 0.8075)
La (0.9627, 0.7396, 0.9254)
Nd (0.7145, 0.3533, 0.4291)
La (0.6405, 0.7979, 0.2810)

Calculated values
E above lowest polymorph = 0 meV per atom
DOS(E_F) = 1.57 states/eV per atom
Total energy = -0.203 Ha/atom
ΔH_f (0 K) = 85 kJ/mol of formula units
Space-group type = C2/m, No. 12